# HfCrWAu2 | the Alexandria database | PBE-GGA | relaxed
data_HfCrWAu2
_chemical_formula_sum 'Hf1 Cr1 W1 Au2'
_cell_length_a 4.801
_cell_length_b 4.374
_cell_length_c 4.801
_cell_angle_alpha 90.00
_cell_angle_beta 90.00
_cell_angle_gamma 90.00
_space_group_name_H-M_alt 'P 1'
_space_group_IT_number 1
loop_
_space_group_symop_operation_xyz
'x,y,z'
loop_
_atom_site_label
_atom_site_fract_x
_atom_site_fract_y
_atom_site_fract_z
_atom_site_occupancy
Hf1 0.500 0.500 0.500 1
Au1 0.000 0.000 0.500 1
Au2 0.500 0.000 0.000 1
W1 0.000 0.500 0.000 1
Cr1 0.000 0.000 0.000 1
# Energy of formation from the pure elements: 1.03 eV/atom
# Space-group type: P4/mmm (123)
# Final energy: -33.944 eV for the cell shown


# Cr4HgAu | the Alexandria database | PBE-GGA | relaxed
data_Cr4HgAu
_chemical_formula_sum 'Cr4 Hg1 Au1'
_cell_length_a 4.928
_cell_length_b 4.928
_cell_length_c 4.928
_cell_angle_alpha 60.00
_cell_angle_beta 60.00
_cell_angle_gamma 60.00
_space_group_name_H-M_alt 'P 1'
_space_group_IT_number 1
loop_
_space_group_symop_operation_xyz
'x,y,z'
loop_
_atom_site_label
_atom_site_fract_x
_atom_site_fract_y
_atom_site_fract_z
_atom_site_occupancy
Cr1 0.119 0.627 0.627 1
Cr2 0.627 0.627 0.627 1
Cr3 0.627 0.119 0.627 1
Cr4 0.627 0.627 0.119 1
Hg1 0.250 0.250 0.250 1
Au1 0.000 0.000 0.000 1
# Energy of formation from the pure elements: 0.49 eV/atom
# Space-group type: F-43m (216)
# Final energy: -39.106 eV for the cell shown


# CrHgAu2 | the Alexandria database | PBE-GGA | relaxed
data_CrHgAu2
_chemical_formula_sum 'Cr1 Hg1 Au2'
_cell_length_a 9.175
_cell_length_b 9.175
_cell_length_c 9.175
_cell_angle_alpha 19.62
_cell_angle_beta 19.62
_cell_angle_gamma 19.62
_space_group_name_H-M_alt 'P 1'
_space_group_IT_number 1
loop_
_space_group_symop_operation_xyz
'x,y,z'
loop_
_atom_site_label
_atom_site_fract_x
_atom_site_fract_y
_atom_site_fract_z
_atom_site_occupancy
Au1 0.992 0.992 0.992 1
Au2 0.508 0.508 0.508 1
Cr1 0.250 0.250 0.250 1
Hg1 0.750 0.750 0.750 1
# Energy of formation from the pure elements: 0.22 eV/atom
# Space-group type: R-3m (166)
# Final energy: -15.613 eV for the cell shown


# Cr2HgAu | the Alexandria database | PBE-GGA | relaxed
data_Cr2HgAu
_chemical_formula_sum 'Cr2 Hg1 Au1'
_cell_length_a 8.856
_cell_length_b 8.856
_cell_length_c 8.856
_cell_angle_alpha 20.40
_cell_angle_beta 20.40
_cell_angle_gamma 20.40
_space_group_name_H-M_alt 'P 1'
_space_group_IT_number 1
loop_
_space_group_symop_operation_xyz
'x,y,z'
loop_
_atom_site_label
_atom_site_fract_x
_atom_site_fract_y
_atom_site_fract_z
_atom_site_occupancy
Au1 0.750 0.750 0.750 1
Cr1 0.003 0.003 0.003 1
Cr2 0.497 0.497 0.497 1
Hg1 0.250 0.250 0.250 1
# Energy of formation from the pure elements: 0.55 eV/atom
# Space-group type: R-3m (166)
# Final energy: -20.617 eV for the cell shown


# Cr2HgAu | the Alexandria database | PBE-GGA | relaxed
data_Cr2HgAu
_chemical_formula_sum 'Cr2 Hg1 Au1'
_cell_length_a 4.258
_cell_length_b 2.968
_cell_length_c 6.154
_cell_angle_alpha 61.88
_cell_angle_beta 90.00
_cell_angle_gamma 90.00
_space_group_name_H-M_alt 'P 1'
_space_group_IT_number 1
loop_
_space_group_symop_operation_xyz
'x,y,z'
loop_
_atom_site_label
_atom_site_fract_x
_atom_site_fract_y
_atom_site_fract_z
_atom_site_occupancy
Au1 0.500 0.750 0.750 1
Cr1 0.000 0.081 0.923 1
Cr2 0.000 0.419 0.577 1
Hg1 0.500 0.250 0.250 1
# Energy of formation from the pure elements: 0.55 eV/atom
# Space-group type: P2/m (10)
# Final energy: -20.617 eV for the cell shown


# CrHg2Au | the Alexandria database | PBE-GGA | relaxed
data_CrHg2Au
_chemical_formula_sum 'Cr1 Hg2 Au1'
_cell_length_a 5.026
_cell_length_b 5.026
_cell_length_c 5.225
_cell_angle_alpha 78.63
_cell_angle_beta 78.63
_cell_angle_gamma 38.38
_space_group_name_H-M_alt 'P 1'
_space_group_IT_number 1
loop_
_space_group_symop_operation_xyz
'x,y,z'
loop_
_atom_site_label
_atom_site_fract_x
_atom_site_fract_y
_atom_site_fract_z
_atom_site_occupancy
Au1 0.488 0.488 0.517 1
Cr1 0.755 0.755 0.742 1
Hg1 0.011 0.011 0.980 1
Hg2 0.246 0.246 0.262 1
# Polymorph energy (0 for the lowest one): 60 meV/atom
# Energy of formation from the pure elements: 0.28 eV/atom
# Space-group type: Cm (8)
# Final energy: -12.400 eV for the cell shown


# Cr2HgAu | the Alexandria database | PBE-GGA | relaxed
data_Cr2HgAu
_chemical_formula_sum 'Cr2 Hg1 Au1'
_cell_length_a 5.077
_cell_length_b 5.077
_cell_length_c 5.077
_cell_angle_alpha 133.22
_cell_angle_beta 133.22
_cell_angle_gamma 68.30
_space_group_name_H-M_alt 'P 1'
_space_group_IT_number 1
loop_
_space_group_symop_operation_xyz
'x,y,z'
loop_
_atom_site_label
_atom_site_fract_x
_atom_site_fract_y
_atom_site_fract_z
_atom_site_occupancy
Au1 0.750 0.250 0.500 1
Cr1 0.000 0.000 0.000 1
Cr2 0.250 0.750 0.500 1
Hg1 0.500 0.500 0.000 1
# Energy of formation from the pure elements: 0.23 eV/atom
# Space-group type: I-4m2 (119)
# Final energy: -21.903 eV for the cell shown


# Cr2HgAu | the Alexandria database | PBE-GGA | relaxed
data_Cr2HgAu
_chemical_formula_sum 'Cr2 Hg1 Au1'
_cell_length_a 5.061
_cell_length_b 5.061
_cell_length_c 5.252
_cell_angle_alpha 72.28
_cell_angle_beta 72.28
_cell_angle_gamma 33.35
_space_group_name_H-M_alt 'P 1'
_space_group_IT_number 1
loop_
_space_group_symop_operation_xyz
'x,y,z'
loop_
_atom_site_label
_atom_site_fract_x
_atom_site_fract_y
_atom_site_fract_z
_atom_site_occupancy
Au1 0.250 0.250 0.250 1
Cr1 0.001 0.001 0.101 1
Cr2 0.499 0.499 0.399 1
Hg1 0.750 0.750 0.750 1
# Energy of formation from the pure elements: 0.56 eV/atom
# Space-group type: C2/m (12)
# Final energy: -20.583 eV for the cell shown


# Cr2HgAu | the Alexandria database | PBE-GGA | relaxed
data_Cr2HgAu
_chemical_formula_sum 'Cr2 Hg1 Au1'
_cell_length_a 3.281
_cell_length_b 3.281
_cell_length_c 6.648
_cell_angle_alpha 90.00
_cell_angle_beta 90.00
_cell_angle_gamma 90.00
_space_group_name_H-M_alt 'P 1'
_space_group_IT_number 1
loop_
_space_group_symop_operation_xyz
'x,y,z'
loop_
_atom_site_label
_atom_site_fract_x
_atom_site_fract_y
_atom_site_fract_z
_atom_site_occupancy
Au1 0.500 0.500 0.750 1
Cr1 0.000 0.000 0.990 1
Cr2 0.000 0.000 0.510 1
Hg1 0.500 0.500 0.250 1
# Energy of formation from the pure elements: 0.36 eV/atom
# Space-group type: P4/mmm (123)
# Final energy: -21.370 eV for the cell shown


# CrHgAu2 | the Alexandria database | PBE-GGA | relaxed
data_CrHgAu2
_chemical_formula_sum 'Cr1 Hg1 Au2'
_cell_length_a 5.046
_cell_length_b 5.046
_cell_length_c 4.957
_cell_angle_alpha 77.91
_cell_angle_beta 77.91
_cell_angle_gamma 37.09
_space_group_name_H-M_alt 'P 1'
_space_group_IT_number 1
loop_
_space_group_symop_operation_xyz
'x,y,z'
loop_
_atom_site_label
_atom_site_fract_x
_atom_site_fract_y
_atom_site_fract_z
_atom_site_occupancy
Au1 0.013 0.013 0.985 1
Au2 0.487 0.487 0.515 1
Cr1 0.750 0.750 0.750 1
Hg1 0.250 0.250 0.250 1
# Energy of formation from the pure elements: 0.19 eV/atom
# Space-group type: C2/m (12)
# Final energy: -15.717 eV for the cell shown


# CrHg2Au | the Alexandria database | PBE-GGA | relaxed
data_CrHg2Au
_chemical_formula_sum 'Cr1 Hg2 Au1'
_cell_length_a 3.162
_cell_length_b 3.220
_cell_length_c 8.337
_cell_angle_alpha 76.36
_cell_angle_beta 90.00
_cell_angle_gamma 90.00
_space_group_name_H-M_alt 'P 1'
_space_group_IT_number 1
loop_
_space_group_symop_operation_xyz
'x,y,z'
loop_
_atom_site_label
_atom_site_fract_x
_atom_site_fract_y
_atom_site_fract_z
_atom_site_occupancy
Au1 0.000 0.431 0.532 1
Cr1 0.500 0.812 0.730 1
Hg1 0.000 0.169 0.961 1
Hg2 0.500 0.088 0.277 1
# Polymorph energy (0 for the lowest one): 0 meV/atom
# Energy of formation from the pure elements: 0.22 eV/atom
# Space-group type: Pm (6)
# Final energy: -12.641 eV for the cell shown


# CrHg2Au | the Alexandria database | PBE-GGA | relaxed
data_CrHg2Au
_chemical_formula_sum 'Cr1 Hg2 Au1'
_cell_length_a 9.061
_cell_length_b 9.061
_cell_length_c 9.061
_cell_angle_alpha 20.71
_cell_angle_beta 20.71
_cell_angle_gamma 20.71
_space_group_name_H-M_alt 'P 1'
_space_group_IT_number 1
loop_
_space_group_symop_operation_xyz
'x,y,z'
loop_
_atom_site_label
_atom_site_fract_x
_atom_site_fract_y
_atom_site_fract_z
_atom_site_occupancy
Au1 0.250 0.250 0.250 1
Cr1 0.750 0.750 0.750 1
Hg1 0.003 0.003 0.003 1
Hg2 0.497 0.497 0.497 1
# Polymorph energy (0 for the lowest one): 111 meV/atom
# Energy of formation from the pure elements: 0.33 eV/atom
# Space-group type: R-3m (166)
# Final energy: -12.198 eV for the cell shown